# 1
{"formula": "Ca2Pr5Ho4", "functional": "GGA-PBE", "state": "relaxed", "total_magnetization_mub_per_cell": 0.00, "final_energy_ev_per_atom": -4.0296, "spacegroup": "No. 71", "dos_ef_per_ev_cell": 15.0, "delta_e_f_ev_per_atom": 0.17, "cell": [[-1.758, 5.876, 9.532], [1.758, -5.876, 9.532], [1.758, 5.876, -9.532]], "species": ["Ca", "Ca", "Pr", "Pr", "Pr", "Pr", "Pr", "Ho", "Ho", "Ho", "Ho"], "fractional_positions": [[0.192, 0.192, 0.000], [0.808, 0.808, 0.000], [0.000, 0.500, 0.500], [0.118, 0.822, 0.296], [0.473, 0.178, 0.296], [0.527, 0.822, 0.704], [0.882, 0.178, 0.704], [0.275, 0.000, 0.275], [0.414, 0.414, 0.000], [0.586, 0.586, 0.000], [0.725, 0.000, 0.725]]}

=====

# 2
{"formula": "Ca2Pr3Ho2", "functional": "GGA-PBE", "state": "relaxed", "total_magnetization_mub_per_cell": 0.00, "final_energy_ev_per_atom": -3.8651, "spacegroup": "No. 12", "dos_ef_per_ev_cell": 9.9, "delta_e_f_ev_per_atom": 0.06, "cell": [[5.770, -2.602, 0.000], [5.770, 2.602, 0.000], [-1.233, 0.000, 8.341]], "species": ["Ca", "Ca", "Pr", "Pr", "Pr", "Ho", "Ho"], "fractional_positions": [[0.143, 0.143, 0.428], [0.857, 0.857, 0.572], [0.000, 0.000, 0.000], [0.428, 0.428, 0.264], [0.572, 0.572, 0.736], [0.284, 0.284, 0.869], [0.716, 0.716, 0.131]]}

=====

# 3
{"formula": "CaPr2Ho4", "functional": "GGA-PBE", "state": "relaxed", "total_magnetization_mub_per_cell": 0.00, "final_energy_ev_per_atom": -4.0250, "spacegroup": "No. 139", "dos_ef_per_ev_cell": 14.0, "delta_e_f_ev_per_atom": 0.24, "cell": [[-4.285, 4.285, 3.328], [4.285, -4.285, 3.328], [4.285, 4.285, -3.328]], "species": ["Ca", "Pr", "Pr", "Ho", "Ho", "Ho", "Ho"], "fractional_positions": [[0.000, 0.000, 0.000], [0.250, 0.750, 0.500], [0.750, 0.250, 0.500], [0.302, 0.302, 0.604], [0.302, 0.698, 0.000], [0.698, 0.302, 0.000], [0.698, 0.698, 0.396]]}

=====

# 4
{"formula": "Ca2Pr7Ho2", "functional": "GGA-PBE", "state": "relaxed", "total_magnetization_mub_per_cell": 0.00, "final_energy_ev_per_atom": -4.0981, "spacegroup": "No. 12", "dos_ef_per_ev_cell": 16.1, "delta_e_f_ev_per_atom": 0.14, "cell": [[9.157, -5.926, 0.000], [9.157, 5.926, 0.000], [-0.001, 0.000, 3.729]], "species": ["Ca", "Ca", "Pr", "Pr", "Pr", "Pr", "Pr", "Pr", "Pr", "Ho", "Ho"], "fractional_positions": [[0.236, 0.236, 0.499], [0.764, 0.764, 0.501], [0.000, 0.000, 0.000], [0.077, 0.605, 0.001], [0.395, 0.923, 0.999], [0.408, 0.408, 0.999], [0.592, 0.592, 0.001], [0.605, 0.077, 0.001], [0.923, 0.395, 0.999], [0.279, 0.721, 0.500], [0.721, 0.279, 0.500]]}

=====

# 5
{"formula": "CaPrHo2", "functional": "GGA-PBE", "state": "relaxed", "total_magnetization_mub_per_cell": 0.10, "final_energy_ev_per_atom": -3.8168, "spacegroup": "No. 225", "relative_energy_kj_per_mol_atoms": 9.63, "dos_ef_per_ev_cell": 7.1, "delta_e_f_ev_per_atom": 0.17, "cell": [[0.000, 4.093, 4.093], [4.093, 0.000, 4.093], [4.093, 4.093, 0.000]], "species": ["Ca", "Pr", "Ho", "Ho"], "fractional_positions": [[0.000, 0.000, 0.000], [0.500, 0.500, 0.500], [0.250, 0.250, 0.250], [0.750, 0.750, 0.750]]}

=====

# 6
{"formula": "CaPr6Ho6", "functional": "GGA-PBE", "state": "relaxed", "total_magnetization_mub_per_cell": 0.00, "final_energy_ev_per_atom": -4.2304, "spacegroup": "No. 191", "dos_ef_per_ev_cell": 25.9, "delta_e_f_ev_per_atom": 0.24, "cell": [[6.823, 0.000, 0.000], [-3.412, 5.909, 0.000], [0.000, 0.000, 11.499]], "species": ["Ca", "Pr", "Pr", "Pr", "Pr", "Pr", "Pr", "Ho", "Ho", "Ho", "Ho", "Ho", "Ho"], "fractional_positions": [[0.000, 0.000, 0.000], [0.000, 0.000, 0.345], [0.000, 0.000, 0.655], [0.333, 0.667, 0.000], [0.333, 0.667, 0.500], [0.667, 0.333, 0.000], [0.667, 0.333, 0.500], [0.000, 0.500, 0.250], [0.000, 0.500, 0.750], [0.500, 0.000, 0.250], [0.500, 0.000, 0.750], [0.500, 0.500, 0.250], [0.500, 0.500, 0.750]]}